1.
Compound: SbBrCl2
Source: the Alexandria database
Functional: GGA-PBE
Structure: optimized geometry

Summary:
DFT total energy ... -2.8661 eV per atom
Magnetic moment ... 0.0 μB/f.u.
Space group ... Imm2, No. 44

a = 7.924 Å, b = 7.924 Å, c = 7.924 Å
α = 153.81°, β = 142.68°, γ = 46.16°
Element x y z (fractional)
1 Sb 0.000 0.000 0.000
2 Br 0.151 0.651 0.500
3 Cl 0.499 0.499 0.000
4 Cl 0.861 0.361 0.500


2.
Compound: Er2ThI
Source: the Alexandria database
Functional: GGA-PBE
Structure: optimized geometry

Summary:
DFT total energy ... -4.8015 eV per atom
Magnetic moment ... 0.0 μB/f.u.
Space group ... P4/mmm, No. 123

a = 3.698 Å, b = 3.698 Å, c = 9.263 Å
α = 90.00°, β = 90.00°, γ = 90.00°
Element x y z (fractional)
1 Er 0.000 0.000 0.248
2 Er 0.000 0.000 0.752
3 Th 0.500 0.500 0.000
4 I 0.500 0.500 0.500